#one
An optimized crystal structure of NaRh2Pb2, computed with PBE.

Geometry as POSCAR:
```
NaRh2Pb2
1.0
3.1650 -5.5257 0.0000
3.1650 5.5257 0.0000
-3.1511 0.0000 7.1889
Na Rh Pb
2 4 4
Direct
0.1254 0.8746 0.7500
0.8746 0.1254 0.2500
0.2664 0.5172 0.0341
0.4828 0.7336 0.4659
0.5172 0.2664 0.5341
0.7336 0.4828 0.9659
0.1770 0.8230 0.2500
0.4278 0.5722 0.7500
0.5722 0.4278 0.2500
0.8230 0.1770 0.7500
```

## Properties
**Theoretical density**: 8.495 g/cm³

***

#two
An optimized crystal structure of NaRh2Pb2, computed with PBE.

Geometry as POSCAR:
```
NaRh2Pb2
1.0
8.0061 0.0000 0.0000
0.0000 8.0061 0.0000
0.0000 0.0000 3.1973
Na Rh Pb
2 4 4
Direct
0.0000 0.0000 0.0000
0.5000 0.5000 0.0000
0.1342 0.3658 0.0000
0.3658 0.8658 0.0000
0.6342 0.1342 0.0000
0.8658 0.6342 0.0000
0.1613 0.6613 0.5000
0.3387 0.1613 0.5000
0.6613 0.8387 0.5000
0.8387 0.3387 0.5000
```

## Properties
**Theoretical density**: 10.423 g/cm³

***

Name the most stable of them. #two.

***

#one
An optimized crystal structure of NaRh2Pb2, computed with PBE.

Geometry as POSCAR:
```
NaRh2Pb2
1.0
-2.3915 2.3915 5.2256
2.3915 -2.3915 5.2256
2.3915 2.3915 -5.2256
Na Rh Pb
1 2 2
Direct
0.0000 0.0000 0.0000
0.3815 0.3815 0.0000
0.6185 0.6185 0.0000
0.2500 0.7500 0.5000
0.7500 0.2500 0.5000
```

## Properties
**Theoretical density**: 8.934 g/cm³

***

#two
An optimized crystal structure of NaRh2Pb2, computed with PBE.

Geometry as POSCAR:
```
NaRh2Pb2
1.0
-2.1831 2.1831 6.2207
2.1831 -2.1831 6.2207
2.1831 2.1831 -6.2207
Na Rh Pb
1 2 2
Direct
0.0000 0.0000 0.0000
0.2500 0.7500 0.5000
0.7500 0.2500 0.5000
0.3750 0.3750 0.0000
0.6250 0.6250 0.0000
```

## Properties
**Theoretical density**: 9.006 g/cm³

***

Name the most stable of them. #two.